Entry 1:
A relaxed structure of CsMgCd2Ni. Source: the Alexandria database, functional PBE-GGA.

Computed properties:
Calculated formation energy: 0.28 eV/f.u.

abc: 5.287 5.287 5.125
angles: 90.00 90.00 90.00
Atoms (fractional coordinates):
Cs 0.000 0.000 0.000
Mg 0.500 0.500 0.000
Cd 0.000 0.500 0.500
Cd 0.500 0.000 0.500
Ni 0.500 0.500 0.500


Entry 2:
A relaxed structure of LuTl2Cd. Source: the Alexandria database, functional PBE-GGA.

Computed properties:
Calculated formation energy: -0.17 eV/f.u.

abc: 3.671 3.671 7.749
angles: 90.00 90.00 90.00
Atoms (fractional coordinates):
Lu 0.000 0.000 0.000
Tl 0.500 0.500 0.254
Tl 0.500 0.500 0.746
Cd 0.000 0.000 0.500


Entry 3:
A relaxed structure of CrAgSb2. Source: the Alexandria database, functional PBE-GGA.

Computed properties:
Energy: -4.928 eV per atom

abc: 3.914 3.914 5.733
angles: 90.00 90.00 90.00
Atoms (fractional coordinates):
Cr 0.000 0.000 0.000
Ag 0.500 0.500 0.649
Sb 0.000 0.000 0.505
Sb 0.500 0.500 0.130


Number 1: DOS at the Fermi energy 1.82 states/eV/cell. Number 2: DOS at the Fermi energy 2.51 states/eV/cell. Number 3: DOS at the Fermi energy 3.26 states/eV/cell.